i.
Compound: PmNd3Er
Source: Alexandria via LeMat-Bulk
Functional: GGA-PBE
Structure: optimized geometry

Results
* M_tot: 0.000 μB per formula unit
* Fermi-level density of states: 4.1 states/eV/f.u.
* crystal system: orthorhombic

The structure in CIF format:
```
data_PmNd3Er
_chemical_formula_sum 'Pm2 Nd6 Er2'
_symmetry_space_group_name_H-M 'P 1'
_symmetry_Int_Tables_number 1
_cell_length_a 8.143
_cell_length_b 8.143
_cell_length_c 6.209
_cell_angle_alpha 90.00
_cell_angle_beta 90.00
_cell_angle_gamma 59.90
loop_
_symmetry_equiv_pos_as_xyz
'x,y,z'
loop_
_atom_site_label
_atom_site_fract_x
_atom_site_fract_y
_atom_site_fract_z
Pm1 0.201 0.201 0.250
Pm2 0.799 0.799 0.750
Nd1 0.598 0.200 0.250
Nd2 0.200 0.598 0.250
Nd3 0.800 0.402 0.750
Nd4 0.402 0.800 0.750
Nd5 0.000 0.000 0.000
Nd6 0.000 0.000 0.500
Er1 0.669 0.669 0.250
Er2 0.331 0.331 0.750
```


ii.
Compound: PmNd3Er
Source: Alexandria via LeMat-Bulk
Functional: GGA-PBE
Structure: optimized geometry

Results
* M_tot: 0.000 μB per formula unit
* Fermi-level density of states: 8.2 states/eV/f.u.
* crystal system: monoclinic

The structure in CIF format:
```
data_PmNd3Er
_chemical_formula_sum 'Pm2 Nd6 Er2'
_symmetry_space_group_name_H-M 'P 1'
_symmetry_Int_Tables_number 1
_cell_length_a 6.857
_cell_length_b 6.101
_cell_length_c 9.448
_cell_angle_alpha 108.60
_cell_angle_beta 111.28
_cell_angle_gamma 90.00
loop_
_symmetry_equiv_pos_as_xyz
'x,y,z'
loop_
_atom_site_label
_atom_site_fract_x
_atom_site_fract_y
_atom_site_fract_z
Pm1 0.000 0.500 0.000
Pm2 0.000 0.000 0.000
Nd1 0.774 0.525 0.548
Nd2 0.580 0.098 0.694
Nd3 0.226 0.475 0.452
Nd4 0.115 0.098 0.694
Nd5 0.420 0.902 0.306
Nd6 0.885 0.902 0.306
Er1 0.449 0.699 0.898
Er2 0.551 0.301 0.102
```


Which is most stable? The ranking, best first, is ii, i.


i.
Compound: Pm12Nd2Er5
Source: Alexandria via LeMat-Bulk
Functional: GGA-PBE
Structure: optimized geometry

Results
* M_tot: 0.000 μB per formula unit
* Fermi-level density of states: 21.4 states/eV/f.u.
* crystal system: monoclinic

The structure in CIF format:
```
data_Pm12Nd2Er5
_chemical_formula_sum 'Pm12 Nd2 Er5'
_symmetry_space_group_name_H-M 'P 1'
_symmetry_Int_Tables_number 1
_cell_length_a 9.292
_cell_length_b 11.743
_cell_length_c 8.925
_cell_angle_alpha 129.05
_cell_angle_beta 90.00
_cell_angle_gamma 113.31
loop_
_symmetry_equiv_pos_as_xyz
'x,y,z'
loop_
_atom_site_label
_atom_site_fract_x
_atom_site_fract_y
_atom_site_fract_z
Pm1 0.079 0.158 0.243
Pm2 0.070 0.759 0.058
Pm3 0.689 0.759 0.058
Pm4 0.083 0.660 0.384
Pm5 0.577 0.660 0.384
Pm6 0.483 0.965 0.637
Pm7 0.517 0.035 0.363
Pm8 0.917 0.340 0.616
Pm9 0.423 0.340 0.616
Pm10 0.930 0.241 0.942
Pm11 0.311 0.241 0.942
Pm12 0.921 0.842 0.757
Nd1 0.675 0.000 0.000
Nd2 0.325 0.000 0.000
Er1 0.307 0.614 0.663
Er2 0.285 0.569 0.009
Er3 0.000 0.000 0.500
Er4 0.715 0.431 0.991
Er5 0.693 0.386 0.337
```


ii.
Compound: Pm12Nd2Er5
Source: Alexandria via LeMat-Bulk
Functional: GGA-PBE
Structure: optimized geometry

Results
* M_tot: 0.000 μB per formula unit
* Fermi-level density of states: 27.3 states/eV/f.u.
* crystal system: monoclinic

The structure in CIF format:
```
data_Pm12Nd2Er5
_chemical_formula_sum 'Pm12 Nd2 Er5'
_symmetry_space_group_name_H-M 'P 1'
_symmetry_Int_Tables_number 1
_cell_length_a 11.683
_cell_length_b 8.741
_cell_length_c 9.417
_cell_angle_alpha 70.80
_cell_angle_beta 90.00
_cell_angle_gamma 131.94
loop_
_symmetry_equiv_pos_as_xyz
'x,y,z'
loop_
_atom_site_label
_atom_site_fract_x
_atom_site_fract_y
_atom_site_fract_z
Pm1 0.117 0.234 0.059
Pm2 0.049 0.608 0.802
Pm3 0.559 0.608 0.802
Pm4 0.172 0.784 0.417
Pm5 0.612 0.784 0.417
Pm6 0.422 0.844 0.783
Pm7 0.578 0.156 0.217
Pm8 0.828 0.216 0.583
Pm9 0.388 0.216 0.583
Pm10 0.951 0.392 0.198
Pm11 0.441 0.392 0.198
Pm12 0.883 0.766 0.941
Nd1 0.725 0.000 0.000
Nd2 0.275 0.000 0.000
Er1 0.196 0.393 0.661
Er2 0.310 0.620 0.234
Er3 0.000 0.000 0.500
Er4 0.690 0.380 0.766
Er5 0.804 0.607 0.339
```


Which is most stable? The ranking, best first, is ii, i.